Arrangement one

Tl3CoI6 after structural relaxation, computed with PBE.

Calculated density: 5.2 g cm⁻³
SG: Cmc2_1 (36)
Magnetic moment: 3.960 μB per formula unit

Cell lengths 8.1536, 10.6868, 10.6868 Å; angles 101.91, 90.00, 90.00 degrees
Site moments in Bohr magnetons follow the coordinates.
Fractional positions:
I 0.6855 0.8860 0.4149  0.19
Tl 0.9803 0.0973 0.2825  0.02
I 0.1642 0.7132 0.6190  0.05
Co 0.5590 0.8036 0.1964  2.38
Tl 0.8533 0.5791 0.4209  0.03
I 0.1855 0.1140 0.5851  0.19
I 0.1605 0.0511 0.9489  0.17
Tl 0.4803 0.2825 0.0973  0.02
Tl 0.9803 0.7175 0.9027  0.02
I 0.6642 0.6190 0.7132  0.05
Co 0.0590 0.1964 0.8036  2.38
I 0.1855 0.4149 0.8860  0.19
I 0.6642 0.2868 0.3810  0.05
Tl 0.4803 0.9027 0.7175  0.02
I 0.7526 0.2047 0.7953  0.22
I 0.6855 0.5851 0.1140  0.19
I 0.2526 0.7953 0.2047  0.22
I 0.1642 0.3810 0.2868  0.05
I 0.6605 0.9489 0.0511  0.17
Tl 0.3533 0.4209 0.5791  0.03



Arrangement two

Tl3CoI6 after structural relaxation, computed with PBE.

Calculated density: 6.2 g cm⁻³
SG: P2_1/c (14)
Magnetic moment: 0.068 μB per formula unit

Cell lengths 7.7680, 8.6980, 11.4577 Å; angles 90.00, 86.29, 90.00 degrees
Site moments in Bohr magnetons follow the coordinates.
Fractional positions:
Co 0.5000 0.5000 0.5000  0.06
I 0.8445 0.7432 0.9355  0.00
Tl 0.9607 0.4228 0.7439  0.00
I 0.6116 0.4491 0.2819  0.00
I 0.2824 0.8408 0.0319  0.00
I 0.7176 0.1592 0.9681  0.00
I 0.3884 0.5509 0.7181  0.00
I 0.6555 0.2432 0.5645  0.00
Tl 0.4607 0.0772 0.2439  0.00
I 0.1555 0.2568 0.0645  0.00
I 0.2176 0.3408 0.4681  0.00
I 0.3445 0.7568 0.4355  0.00
I 0.8884 0.9491 0.2181  0.00
I 0.1116 0.0509 0.7819  0.00
Tl 0.0393 0.5772 0.2561  0.00
Tl 0.0000 0.0000 0.5000  0.00
Co 0.0000 0.0000 0.0000  0.06
Tl 0.5393 0.9228 0.7561  0.00
I 0.7824 0.6592 0.5319  0.00
Tl 0.5000 0.5000 0.0000  0.00



Most stable structure, least stable structure: arrangement one, arrangement two.



Arrangement one

VCo3I after structural relaxation, computed with PBE.

Calculated density: 7.2 g cm⁻³
SG: Pm-3m (221)
Magnetic moment: 0.637 μB per formula unit

Cell lengths 4.3484, 4.3484, 4.3484 Å; angles 90.00, 90.00, 90.00 degrees
Site moments in Bohr magnetons follow the coordinates.
Fractional positions:
Co 0.5000 0.0000 0.0000  0.32
Co 0.0000 0.0000 0.5000  0.32
V 0.0000 0.0000 0.0000  -0.34
I 0.5000 0.5000 0.5000  0.02
Co 0.0000 0.5000 0.0000  0.32



Arrangement two

VCo3I after structural relaxation, computed with PBE.

Calculated density: 6.3 g cm⁻³
SG: Pm-3m (221)
Magnetic moment: 5.530 μB per formula unit

Cell lengths 4.5447, 4.5447, 4.5447 Å; angles 90.00, 90.00, 90.00 degrees
Site moments in Bohr magnetons follow the coordinates.
Fractional positions:
Co 0.0000 0.0000 0.5000  0.86
Co 0.0000 0.5000 0.0000  0.86
I 0.0000 0.0000 0.0000  0.00
Co 0.5000 0.0000 0.0000  0.86
V 0.5000 0.5000 0.5000  2.56



Most stable structure, least stable structure: arrangement one, arrangement two.



Arrangement one

VCoI2 after structural relaxation, computed with PBE.

Calculated density: 7.3 g cm⁻³
SG: Fm-3m (225)
Magnetic moment: 3.959 μB per formula unit

Cell lengths 4.8813, 4.8813, 4.8813 Å; angles 60.00, 60.00, 60.00 degrees
Site moments in Bohr magnetons follow the coordinates.
Fractional positions:
I 0.2500 0.2500 0.2500  -0.04
I 0.7500 0.7500 0.7500  -0.04
Co 0.5000 0.5000 0.5000  1.42
V 0.0000 0.0000 0.0000  2.27



Arrangement two

VCoI2 after structural relaxation, computed with PBE.

Calculated density: 5.4 g cm⁻³
SG: I-42d (122)
Magnetic moment: 4.730 μB per formula unit

Cell lengths 6.1399, 6.1399, 7.3537 Å; angles 65.32, 65.32, 90.00 degrees
Site moments in Bohr magnetons follow the coordinates.
Fractional positions:
V 0.2500 0.7500 0.5000  2.75
I 0.3750 0.3478 0.7500  -0.01
Co 0.7500 0.2500 0.5000  1.33
V 0.5000 0.5000 0.0000  2.75
I 0.0978 0.6250 0.2500  -0.01
I 0.8750 0.9022 0.7500  -0.01
I 0.6522 0.1250 0.2500  -0.01
Co 0.0000 0.0000 0.0000  1.33



Most stable structure, least stable structure: arrangement two, arrangement one.



Arrangement one

V2CoI2 after structural relaxation, computed with PBE.

Calculated density: 7.3 g cm⁻³
SG: P4/mbm (127)
Magnetic moment: 3.404 μB per formula unit

Cell lengths 6.7477, 6.7477, 4.1503 Å; angles 90.00, 90.00, 90.00 degrees
Site moments in Bohr magnetons follow the coordinates.
Fractional positions:
I 0.3290 0.1710 0.5000  -0.01
V 0.8620 0.6380 0.0000  1.08
Co 0.5000 0.5000 0.0000  0.97
V 0.3620 0.8620 0.0000  1.08
V 0.6380 0.1380 0.0000  1.08
Co 0.0000 0.0000 0.0000  0.97
I 0.8290 0.3290 0.5000  -0.01
I 0.6710 0.8290 0.5000  -0.01
V 0.1380 0.3620 0.0000  1.08
I 0.1710 0.6710 0.5000  -0.01



Arrangement two

V2CoI2 after structural relaxation, computed with PBE.

Calculated density: 6.6 g cm⁻³
SG: I4/mmm (139)
Magnetic moment: 1.989 μB per formula unit

Cell lengths 5.3002, 5.3002, 5.2865 Å; angles 59.91, 59.91, 90.00 degrees
Site moments in Bohr magnetons follow the coordinates.
Fractional positions:
V 0.6266 0.6266 0.7469  0.04
I 0.7500 0.2500 0.5000  0.01
Co 0.0000 0.0000 0.0000  1.83
V 0.3734 0.3734 0.2531  0.04
I 0.2500 0.7500 0.5000  0.01



Most stable structure, least stable structure: arrangement one, arrangement two.